Material: Sr3Se5S12
Method: DFT, PBE
State: relaxed

Cell lengths 13.9128, 13.9128, 13.9128 Å; angles 109.47, 109.47, 109.47 degrees
Atoms (fractional coordinates):
S 0.8815 0.3021 0.4757
S 0.8021 0.3264 0.9206
S 0.9058 0.0794 0.8815
S 0.6979 0.1185 0.0243
S 0.1736 0.0794 0.6979
S 0.1736 0.0942 0.9757
S 0.4757 0.6736 0.0942
S 0.1185 0.6979 0.5243
S 0.8021 0.4757 0.3815
S 0.0794 0.1736 0.1979
S 0.3021 0.4206 0.8264
S 0.5243 0.3264 0.9058
S 0.3815 0.4058 0.0794
S 0.1185 0.4206 0.0942
S 0.3264 0.5243 0.4058
S 0.4757 0.8021 0.8815
S 0.6979 0.5794 0.1736
S 0.4058 0.3815 0.5794
S 0.3815 0.9757 0.8021
S 0.5942 0.6185 0.4206
S 0.9757 0.5942 0.1736
S 0.5794 0.6979 0.6736
S 0.9206 0.0942 0.6185
S 0.0243 0.4058 0.8264
S 0.3264 0.8021 0.4206
S 0.9757 0.3815 0.3021
S 0.1979 0.6736 0.0794
S 0.4206 0.3021 0.3264
S 0.1979 0.5243 0.6185
S 0.0794 0.9058 0.3815
S 0.5942 0.9757 0.6736
S 0.5243 0.1979 0.1185
S 0.0942 0.1736 0.4757
S 0.5794 0.8815 0.4058
S 0.9206 0.8264 0.8021
S 0.0243 0.6185 0.6979
S 0.4206 0.1185 0.5942
S 0.3021 0.8815 0.9757
S 0.8815 0.5794 0.9058
S 0.6185 0.5942 0.9206
S 0.6736 0.1979 0.5794
S 0.6185 0.0243 0.1979
S 0.9058 0.8264 0.5243
S 0.0942 0.9206 0.1185
S 0.4058 0.0243 0.3264
S 0.8264 0.9058 0.0243
S 0.8264 0.9206 0.3021
S 0.6736 0.4757 0.5942
Se 0.1250 0.3750 0.2500
Se 0.8750 0.6250 0.7500
Se 0.0000 0.5000 0.5000
Se 0.3750 0.1250 0.7500
Se 0.3750 0.2500 0.1250
Se 0.7500 0.6250 0.3750
Se 0.2500 0.3750 0.6250
Se 0.5000 0.5000 0.5000
Se 0.6250 0.8750 0.2500
Se 0.6250 0.7500 0.8750
Se 0.7500 0.1250 0.8750
Se 0.0000 0.0000 0.0000
Se 0.2500 0.8750 0.1250
Se 0.1250 0.7500 0.3750
Se 0.8750 0.2500 0.6250
Se 0.5000 0.0000 0.0000
Se 0.0000 0.0000 0.5000
Se 0.5000 0.0000 0.5000
Se 0.0000 0.5000 0.0000
Se 0.5000 0.5000 0.0000
Sr 0.3750 0.6250 0.2500
Sr 0.7500 0.8750 0.6250
Sr 0.1250 0.8750 0.7500
Sr 0.6250 0.3750 0.7500
Sr 0.2500 0.6250 0.8750
Sr 0.8750 0.1250 0.2500
Sr 0.6250 0.2500 0.3750
Sr 0.2500 0.1250 0.3750
Sr 0.8750 0.7500 0.1250
Sr 0.7500 0.3750 0.1250
Sr 0.3750 0.7500 0.6250
Sr 0.1250 0.2500 0.8750

Computed properties:
uncorrected energy	-78.451	eV per formula unit
total moment	0.00	μB per formula unit
crystal system	cubic
E_form (uncorrected)	-0.32	eV/atom
density of states at the Fermi level	6.97	states/eV/f.u.

---

Material: SrSe2S
Method: DFT, PBE
State: relaxed

Cell lengths 4.2928, 5.0012, 5.4932 Å; angles 95.27, 108.18, 90.19 degrees
Atoms (fractional coordinates):
Se 0.1541 0.1660 0.5342
Se 0.1794 0.0969 0.0987
Sr 0.6590 0.5894 0.9825
S 0.9998 0.5971 0.5650

Computed properties:
uncorrected energy	-16.674	eV per formula unit
total moment	0.00	μB per formula unit
crystal system	triclinic
E_form (uncorrected)	-0.97	eV/atom
density of states at the Fermi level	0.68	states/eV/f.u.

---

Material: Sr6TeSe2S3
Method: DFT, PBE
State: relaxed

Cell lengths 4.4159, 8.8647, 9.8978 Å; angles 103.08, 102.89, 90.00 degrees
Atoms (fractional coordinates):
S 0.1668 0.8312 0.3336
S 0.8332 0.1688 0.6664
S 0.5000 0.5000 0.0000
Te 0.5000 0.0000 0.0000
Sr 0.6660 0.5873 0.3320
Sr 0.6728 0.0816 0.3456
Sr 0.3272 0.9184 0.6544
Sr 0.9978 0.2666 0.9956
Sr 0.0022 0.7334 0.0044
Sr 0.3340 0.4127 0.6680
Se 0.1670 0.3346 0.3340
Se 0.8330 0.6654 0.6660

Computed properties:
uncorrected energy	-56.968	eV per formula unit
total moment	0.00	μB per formula unit
crystal system	monoclinic
E_form (uncorrected)	-2.03	eV/atom
density of states at the Fermi level	0.00	states/eV/f.u.

---

Material: Sr4Te2SeS
Method: DFT, PBE
State: relaxed

Cell lengths 4.5514, 7.9346, 7.8859 Å; angles 70.67, 90.00, 90.00 degrees
Atoms (fractional coordinates):
S 0.5000 0.5000 0.0000
Te 0.0000 0.0000 0.0000
Te 0.5000 0.0000 0.5000
Sr 0.5000 0.2681 0.7480
Sr 0.0000 0.2705 0.2392
Sr 0.5000 0.7319 0.2520
Sr 0.0000 0.7295 0.7608
Se 0.0000 0.5000 0.5000

Computed properties:
uncorrected energy	-35.816	eV per formula unit
total moment	0.00	μB per formula unit
crystal system	monoclinic
E_form (uncorrected)	-1.90	eV/atom
density of states at the Fermi level	0.00	states/eV/f.u.

---

Material: SrTmSeS
Method: DFT, PBE
State: relaxed

Cell lengths 4.0108, 4.0116, 7.6049 Å; angles 90.01, 105.28, 120.00 degrees
Atoms (fractional coordinates):
Tm 0.3029 0.5493 0.8674
Sr 0.9672 0.3817 0.3639
Se 0.1181 0.9570 0.0902
S 0.4898 0.1428 0.6481

Computed properties:
uncorrected energy	-21.053	eV per formula unit
total moment	0.00	μB per formula unit
crystal system	trigonal
E_form (uncorrected)	-1.82	eV/atom
density of states at the Fermi level	2.32	states/eV/f.u.

---

Material: Ta2SeS
Method: DFT, PBE
State: relaxed

Cell lengths 4.5817, 4.5817, 8.3152 Å; angles 74.01, 74.01, 90.00 degrees
Atoms (fractional coordinates):
Se 0.7500 0.2500 0.5000
Se 0.0000 0.0000 0.0000
Ta 0.5876 0.1250 0.2500
Ta 0.1624 0.6250 0.2500
Ta 0.8750 0.8376 0.7500
Ta 0.3750 0.4124 0.7500
S 0.2500 0.7500 0.5000
S 0.5000 0.5000 0.0000

Computed properties:
uncorrected energy	-31.579	eV per formula unit
total moment	0.00	μB per formula unit
crystal system	tetragonal
energy relative to the lowest polymorph listed for this composition	368	meV per atom
E_form (uncorrected)	-0.07	eV/atom
density of states at the Fermi level	4.76	states/eV/f.u.

---

Material: Ta2SeS
Method: DFT, PBE
State: relaxed

Cell lengths 4.4712, 4.4712, 4.4712 Å; angles 60.00, 60.00, 60.00 degrees
Atoms (fractional coordinates):
Ta 0.7500 0.7500 0.7500
Ta 0.2500 0.2500 0.2500
Se 0.5000 0.5000 0.5000
S 0.0000 0.0000 0.0000

Computed properties:
uncorrected energy	-32.212	eV per formula unit
total moment	0.00	μB per formula unit
crystal system	cubic
energy relative to the lowest polymorph listed for this composition	210	meV per atom
E_form (uncorrected)	-0.22	eV/atom
density of states at the Fermi level	5.03	states/eV/f.u.

---

Material: TaSeS
Method: DFT, PBE
State: relaxed

Cell lengths 3.1090, 3.1090, 6.8538 Å; angles 103.11, 103.11, 90.00 degrees
Atoms (fractional coordinates):
Ta 0.6739 0.6739 0.3478
S 0.2815 0.2815 0.5630
Se 0.0446 0.0446 0.0892

Computed properties:
uncorrected energy	-21.356	eV per formula unit
total moment	0.00	μB per formula unit
crystal system	tetragonal
energy relative to the lowest polymorph listed for this composition	305	meV per atom
E_form (uncorrected)	-0.63	eV/atom
density of states at the Fermi level	3.01	states/eV/f.u.

---

Material: TaSeS
Method: DFT, PBE
State: relaxed

Cell lengths 3.4090, 3.4086, 7.1244 Å; angles 103.91, 90.00, 120.00 degrees
Atoms (fractional coordinates):
Ta 0.2940 0.5880 0.6359
S 0.5536 0.1072 0.4156
Se 0.7119 0.4238 0.8883

Computed properties:
uncorrected energy	-22.270	eV per formula unit
total moment	0.00	μB per formula unit
crystal system	monoclinic
energy relative to the lowest polymorph listed for this composition	0	meV per atom
E_form (uncorrected)	-0.94	eV/atom
density of states at the Fermi level	3.05	states/eV/f.u.

---

Material: Ta4Se2S3
Method: DFT, PBE
State: relaxed

Cell lengths 6.2800, 8.0901, 8.0901 Å; angles 107.97, 96.46, 96.46 degrees
Atoms (fractional coordinates):
S 0.2500 0.6993 0.3007
S 0.7500 0.3007 0.6993
S 0.3566 0.9650 0.7352
S 0.6434 0.0350 0.2648
S 0.1434 0.2648 0.0350
S 0.8566 0.7352 0.9650
Se 0.8087 0.8238 0.5507
Se 0.1913 0.1762 0.4493
Se 0.6913 0.4493 0.1762
Se 0.3087 0.5507 0.8238
Ta 0.5732 0.3419 0.4254
Ta 0.0427 0.1248 0.7266
Ta 0.9573 0.8752 0.2734
Ta 0.4268 0.6581 0.5746
Ta 0.5427 0.7266 0.1248
Ta 0.9268 0.5746 0.6581
Ta 0.0732 0.4254 0.3419
Ta 0.4573 0.2734 0.8752

Computed properties:
uncorrected energy	-70.353	eV per formula unit
total moment	0.00	μB per formula unit
crystal system	monoclinic
E_form (uncorrected)	-0.40	eV/atom
density of states at the Fermi level	5.48	states/eV/f.u.

---

Material: Ta2SeS2
Method: DFT, PBE
State: relaxed

Cell lengths 6.4935, 6.4935, 6.6889 Å; angles 119.04, 119.04, 90.00 degrees
Atoms (fractional coordinates):
S 0.7007 0.4286 0.8571
S 0.6786 0.9065 0.3571
S 0.1565 0.4286 0.8571
S 0.6786 0.4507 0.3571
Se 0.9756 0.9756 0.9512
Se 0.2256 0.7256 0.4512
Ta 0.4240 0.1747 0.8479
Ta 0.4240 0.6732 0.8479
Ta 0.4247 0.1740 0.3479
Ta 0.9232 0.1740 0.3479

Computed properties:
uncorrected energy	-38.157	eV per formula unit
total moment	0.00	μB per formula unit
crystal system	tetragonal
energy relative to the lowest polymorph listed for this composition	389	meV per atom
E_form (uncorrected)	-0.54	eV/atom
density of states at the Fermi level	4.55	states/eV/f.u.

---

Material: Ta2SeS2
Method: DFT, PBE
State: relaxed

Cell lengths 3.3891, 6.4083, 9.0712 Å; angles 104.30, 90.00, 90.00 degrees
Atoms (fractional coordinates):
Ta 0.7500 0.8799 0.8678
Ta 0.2500 0.1201 0.1322
Ta 0.7500 0.6762 0.4912
Ta 0.2500 0.3238 0.5088
Se 0.2500 0.9767 0.6585
Se 0.7500 0.0233 0.3415
S 0.7500 0.2616 0.9887
S 0.7500 0.4883 0.6984
S 0.2500 0.7384 0.0113
S 0.2500 0.5117 0.3016

Computed properties:
uncorrected energy	-40.100	eV per formula unit
total moment	0.00	μB per formula unit
crystal system	monoclinic
energy relative to the lowest polymorph listed for this composition	0	meV per atom
E_form (uncorrected)	-0.93	eV/atom
density of states at the Fermi level	2.23	states/eV/f.u.

---

Material: Ta2Se2S
Method: DFT, PBE
State: relaxed

Cell lengths 5.0782, 7.2754, 10.8599 Å; angles 90.00, 90.00, 90.00 degrees
Atoms (fractional coordinates):
Se 0.2500 0.3983 0.4350
Se 0.7500 0.0956 0.2280
Se 0.2500 0.4044 0.7280
Se 0.2500 0.8983 0.0650
Se 0.7500 0.1017 0.9350
Se 0.2500 0.9044 0.7720
Se 0.7500 0.5956 0.2720
Se 0.7500 0.6017 0.5650
Ta 0.7500 0.7907 0.0774
Ta 0.2500 0.2093 0.9226
Ta 0.2500 0.7093 0.5774
Ta 0.7500 0.2907 0.4226
Ta 0.7500 0.3526 0.7542
Ta 0.7500 0.8526 0.7458
Ta 0.2500 0.6474 0.2458
Ta 0.2500 0.1474 0.2542
S 0.2500 0.4054 0.0910
S 0.2500 0.9054 0.4090
S 0.7500 0.5946 0.9090
S 0.7500 0.0946 0.5910

Computed properties:
uncorrected energy	-37.052	eV per formula unit
total moment	0.00	μB per formula unit
crystal system	orthorhombic
energy relative to the lowest polymorph listed for this composition	0	meV per atom
E_form (uncorrected)	-0.45	eV/atom
density of states at the Fermi level	2.52	states/eV/f.u.

---

Material: Ta3SeS
Method: DFT, PBE
State: relaxed

Cell lengths 4.5892, 4.5892, 4.5892 Å; angles 90.00, 90.00, 90.00 degrees
Atoms (fractional coordinates):
Ta 0.0000 0.0000 0.5000
Ta 0.0000 0.5000 0.0000
Ta 0.5000 0.0000 0.0000
S 0.0000 0.0000 0.0000
Se 0.5000 0.5000 0.5000

Computed properties:
uncorrected energy	-40.550	eV per formula unit
total moment	0.00	μB per formula unit
crystal system	cubic
energy relative to the lowest polymorph listed for this composition	0	meV per atom
E_form (uncorrected)	0.52	eV/atom
density of states at the Fermi level	4.52	states/eV/f.u.

---

Material: TaSe2S2
Method: DFT, PBE
State: relaxed

Cell lengths 7.4646, 8.2864, 7.8968 Å; angles 76.76, 59.45, 63.23 degrees
Atoms (fractional coordinates):
S 0.7017 0.0000 0.7298
S 0.9413 0.0000 0.7892
S 0.2983 0.0000 0.2702
S 0.0587 0.0000 0.2108
Ta 0.9043 0.1914 0.5000
Ta 0.0957 0.8086 0.5000
Se 0.9793 0.3888 0.6310
Se 0.6319 0.3888 0.3690
Se 0.3681 0.6112 0.6310
Se 0.0207 0.6112 0.3690

Computed properties:
uncorrected energy	-29.167	eV per formula unit
total moment	0.00	μB per formula unit
crystal system	monoclinic
E_form (uncorrected)	-0.42	eV/atom

---

Material: Ta3SeS5
Method: DFT, PBE
State: relaxed

Cell lengths 6.9686, 6.9686, 9.3433 Å; angles 66.09, 66.09, 75.25 degrees
Atoms (fractional coordinates):
Ta 0.6470 0.6470 0.3480
Ta 0.0000 0.0000 0.0000
Ta 0.3530 0.3530 0.6520
Ta 0.0000 0.0000 0.5000
Ta 0.6693 0.6693 0.8379
Ta 0.3307 0.3307 0.1621
S 0.6301 0.0401 0.6713
S 0.2955 0.7045 0.0000
S 0.4258 0.4258 0.3611
S 0.2352 0.2352 0.9653
S 0.7648 0.7648 0.0347
S 0.9599 0.3699 0.3287
S 0.0401 0.6301 0.6713
S 0.7045 0.2955 0.0000
S 0.3699 0.9599 0.3287
S 0.5742 0.5742 0.6389
Se 0.8968 0.8968 0.3088
Se 0.1032 0.1032 0.6912

Computed properties:
uncorrected energy	-67.065	eV per formula unit
total moment	0.00	μB per formula unit
crystal system	monoclinic
E_form (uncorrected)	-0.82	eV/atom
density of states at the Fermi level	4.13	states/eV/f.u.

---

Material: TaSe3S
Method: DFT, PBE
State: relaxed

Cell lengths 5.0264, 5.0264, 5.0264 Å; angles 90.00, 90.00, 90.00 degrees
Last column: magnetic moment on the atom in μB.
Atoms (fractional coordinates):
Ta 0.0000 0.0000 0.0000  0.08
Se 0.5000 0.0000 0.0000  0.07
Se 0.0000 0.0000 0.5000  0.21
Se 0.0000 0.5000 0.0000  0.09
S 0.5000 0.5000 0.5000  0.93

Computed properties:
uncorrected energy	-24.942	eV per formula unit
total moment	2.15	μB per formula unit
crystal system	cubic
energy relative to the lowest polymorph listed for this composition	0	meV per atom
E_form (uncorrected)	0.30	eV/atom
density of states at the Fermi level	5.18	states/eV/f.u.

---

Material: TaSeS
Method: DFT, PBE
State: relaxed

Cell lengths 5.1317, 5.4244, 4.7184 Å; angles 89.18, 90.00, 90.00 degrees
Atoms (fractional coordinates):
S 0.2500 0.2827 0.0200
S 0.7500 0.7173 0.9800
Se 0.7500 0.2074 0.4983
Se 0.2500 0.7926 0.5017
Ta 0.7500 0.6840 0.4648
Ta 0.2500 0.3160 0.5352

Computed properties:
uncorrected energy	-20.942	eV per formula unit
total moment	0.00	μB per formula unit
crystal system	monoclinic
energy relative to the lowest polymorph listed for this composition	443	meV per atom
E_form (uncorrected)	-0.49	eV/atom
density of states at the Fermi level	0.96	states/eV/f.u.

---

Material: Ta3Se2S2
Method: DFT, PBE
State: relaxed

Cell lengths 3.4269, 6.6025, 6.0705 Å; angles 100.14, 106.40, 90.00 degrees
Atoms (fractional coordinates):
Ta 0.2620 0.8271 0.5241
Ta 0.0000 0.0000 0.0000
Ta 0.7380 0.1729 0.4759
S 0.6053 0.8179 0.2107
S 0.3947 0.1821 0.7893
Se 0.8683 0.6255 0.7366
Se 0.1317 0.3745 0.2634

Computed properties:
uncorrected energy	-55.602	eV per formula unit
total moment	0.00	μB per formula unit
crystal system	monoclinic
E_form (uncorrected)	-0.69	eV/atom
density of states at the Fermi level	3.05	states/eV/f.u.

---

Material: Ta2SeS
Method: DFT, PBE
State: relaxed

Cell lengths 4.8511, 14.8718, 4.8521 Å; angles 90.00, 89.89, 90.00 degrees
Atoms (fractional coordinates):
Ta 0.9575 0.3108 0.9574
Ta 0.4575 0.6892 0.4574
Ta 0.5411 0.7976 0.9588
Ta 0.0425 0.6892 0.0426
Ta 0.0411 0.2024 0.4588
Ta 0.5425 0.3108 0.5426
Ta 0.9589 0.7976 0.5412
Ta 0.4589 0.2024 0.0412
Se 0.5258 0.1247 0.5258
Se 0.0258 0.8753 0.0258
Se 0.4742 0.8753 0.4742
Se 0.9742 0.1247 0.9742
S 0.9719 0.6271 0.5279
S 0.5281 0.6271 0.9721
S 0.4719 0.3729 0.0279
S 0.0281 0.3729 0.4721

Computed properties:
uncorrected energy	-33.050	eV per formula unit
total moment	0.00	μB per formula unit
crystal system	orthorhombic
energy relative to the lowest polymorph listed for this composition	0	meV per atom
E_form (uncorrected)	-0.43	eV/atom
density of states at the Fermi level	1.53	states/eV/f.u.

---

Result set for calculated density: 3.3 4.1 4.1 4.4 6.0 9.8 12.4 7.7 7.0 8.5 8.2 8.8 9.1 11.2 3.6 6.9 5.9 7.4 9.8 9.0 Mg/m³, one per record in the order listed.